This record from Alexandria via LeMat-Bulk describes Ba3Na2 after structural relaxation. The functional is PBE.

Calculated values
energy = -1.615 eV per atom

abc: 10.680 8.842 11.781
angles: 90.00 90.00 90.00
Fractional coordinates of all 20 atoms:
Na1 0.706 0.814 0.371
Na2 0.206 0.686 0.871
Na3 0.794 0.314 0.129
Na4 0.706 0.686 0.629
Na5 0.206 0.814 0.129
Na6 0.294 0.186 0.629
Na7 0.294 0.314 0.371
Na8 0.794 0.186 0.871
Ba1 0.492 0.939 0.828
Ba2 0.008 0.439 0.672
Ba3 0.508 0.061 0.172
Ba4 0.508 0.439 0.828
Ba5 0.343 0.750 0.500
Ba6 0.843 0.750 0.000
Ba7 0.992 0.939 0.672
Ba8 0.657 0.250 0.500
Ba9 0.492 0.561 0.172
Ba10 0.992 0.561 0.328
Ba11 0.157 0.250 0.000
Ba12 0.008 0.061 0.328


This record from Alexandria via LeMat-Bulk describes Ba3Na after structural relaxation. The functional is PBE.

Calculated values
energy = -1.718 eV per atom

abc: 6.179 6.179 6.179
angles: 90.00 90.00 90.00
Fractional coordinates of all 4 atoms:
Ba1 0.000 0.500 0.500
Ba2 0.500 0.500 0.000
Ba3 0.500 0.000 0.500
Na1 0.000 0.000 0.000


This record from Alexandria via LeMat-Bulk describes Ba3Na2 after structural relaxation. The functional is PBE.

Calculated values
energy = -1.685 eV per atom

abc: 9.641 10.612 10.612
angles: 90.00 90.00 90.00
Fractional coordinates of all 20 atoms:
Ba1 0.250 0.500 0.000
Ba2 0.250 0.000 0.500
Ba3 0.000 0.350 0.350
Ba4 0.000 0.650 0.650
Ba5 0.750 0.500 0.000
Ba6 0.750 0.000 0.500
Ba7 0.500 0.850 0.150
Ba8 0.500 0.716 0.716
Ba9 0.500 0.150 0.850
Ba10 0.000 0.784 0.216
Ba11 0.000 0.216 0.784
Ba12 0.500 0.284 0.284
Na1 0.688 0.384 0.616
Na2 0.812 0.116 0.116
Na3 0.688 0.616 0.384
Na4 0.188 0.116 0.116
Na5 0.812 0.884 0.884
Na6 0.188 0.884 0.884
Na7 0.312 0.384 0.616
Na8 0.312 0.616 0.384


This record from Alexandria via LeMat-Bulk describes Ba3Na2 after structural relaxation. The functional is PBE.

Calculated values
energy = -1.654 eV per atom

abc: 11.719 11.719 8.143
angles: 43.98 43.98 60.00
Fractional coordinates of all 10 atoms:
Ba1 0.421 0.079 0.750
Ba2 0.921 0.250 0.250
Ba3 0.750 0.421 0.750
Ba4 0.250 0.579 0.250
Ba5 0.079 0.750 0.750
Ba6 0.579 0.921 0.250
Na1 0.124 0.124 0.627
Na2 0.876 0.876 0.373
Na3 0.376 0.376 0.873
Na4 0.624 0.624 0.127


This record from Alexandria via LeMat-Bulk describes BaNa7 after structural relaxation. The functional is PBE.

Calculated values
energy = -1.370 eV per atom

abc: 4.086 9.352 9.352
angles: 74.13 77.22 77.22
Fractional coordinates of all 8 atoms:
Na1 0.253 0.246 0.246
Na2 0.368 0.411 0.853
Na3 0.632 0.147 0.589
Na4 0.747 0.754 0.754
Na5 0.368 0.853 0.411
Na6 0.000 0.500 0.500
Na7 0.632 0.589 0.147
Ba1 0.000 0.000 0.000


This record from Alexandria via LeMat-Bulk describes BaNa12 after structural relaxation. The functional is PBE.

Calculated values
energy = -1.354 eV per atom

abc: 6.799 9.339 9.339
angles: 82.38 68.65 68.65
Fractional coordinates of all 13 atoms:
Na1 0.500 0.500 0.000
Na2 0.000 0.500 0.000
Na3 0.000 0.646 0.354
Na4 0.646 0.354 0.354
Na5 0.500 0.212 0.788
Na6 0.712 0.788 0.788
Na7 0.500 0.000 0.500
Na8 0.288 0.212 0.212
Na9 0.354 0.646 0.646
Na10 0.000 0.000 0.500
Na11 0.500 0.788 0.212
Na12 0.000 0.354 0.646
Ba1 0.000 0.000 0.000


This record from Alexandria via LeMat-Bulk describes Ba2Na7 after structural relaxation. The functional is PBE.

Calculated values
energy = -1.437 eV per atom

abc: 7.286 7.286 17.597
angles: 78.05 78.05 60.00
Fractional coordinates of all 18 atoms:
Na1 0.500 0.000 0.000
Na2 0.613 0.613 0.668
Na3 0.000 0.500 0.000
Na4 0.106 0.613 0.668
Na5 0.611 0.611 0.167
Na6 0.500 0.500 0.000
Na7 0.278 0.278 0.166
Na8 0.389 0.389 0.833
Na9 0.722 0.722 0.834
Na10 0.894 0.387 0.332
Na11 0.500 0.500 0.500
Na12 0.387 0.387 0.332
Na13 0.387 0.894 0.332
Na14 0.613 0.106 0.668
Ba1 0.054 0.054 0.838
Ba2 0.850 0.850 0.451
Ba3 0.150 0.150 0.549
Ba4 0.946 0.946 0.162


This record from Alexandria via LeMat-Bulk describes Ba6Na23 after structural relaxation. The functional is PBE.

Calculated values
energy = -1.448 eV per atom

abc: 12.063 12.063 12.063
angles: 60.00 60.00 60.00
Fractional coordinates of all 29 atoms:
Na1 0.500 0.000 0.500
Na2 0.618 0.618 0.147
Na3 0.829 0.829 0.829
Na4 0.486 0.171 0.171
Na5 0.618 0.147 0.618
Na6 0.829 0.829 0.514
Na7 0.382 0.853 0.382
Na8 0.000 0.500 0.500
Na9 0.853 0.382 0.382
Na10 0.382 0.382 0.382
Na11 0.500 0.500 0.000
Na12 0.500 0.500 0.500
Na13 0.000 0.000 0.500
Na14 0.382 0.382 0.853
Na15 0.147 0.618 0.618
Na16 0.171 0.171 0.486
Na17 0.829 0.514 0.829
Na18 0.500 0.000 0.000
Na19 0.171 0.486 0.171
Na20 0.171 0.171 0.171
Na21 0.618 0.618 0.618
Na22 0.000 0.500 0.000
Na23 0.514 0.829 0.829
Ba1 0.805 0.195 0.195
Ba2 0.195 0.805 0.805
Ba3 0.195 0.805 0.195
Ba4 0.805 0.195 0.805
Ba5 0.805 0.805 0.195
Ba6 0.195 0.195 0.805


This record from Alexandria via LeMat-Bulk describes Ba7Na5 after structural relaxation. The functional is PBE.

Calculated values
energy = -1.601 eV per atom

abc: 6.665 6.666 17.571
angles: 101.01 90.00 119.99
Fractional coordinates of all 12 atoms:
Ba1 0.929 0.858 0.786
Ba2 0.071 0.142 0.214
Ba3 0.221 0.442 0.663
Ba4 0.311 0.622 0.932
Ba5 0.500 0.000 0.500
Ba6 0.689 0.378 0.068
Ba7 0.779 0.558 0.337
Na1 0.855 0.709 0.562
Na2 0.601 0.201 0.801
Na3 0.399 0.799 0.199
Na4 0.145 0.291 0.438
Na5 0.000 0.000 0.000


This record from Alexandria via LeMat-Bulk describes Ba7Na3 after structural relaxation. The functional is PBE.

Calculated values
energy = -1.704 eV per atom

abc: 8.792 12.348 12.348
angles: 120.00 90.00 90.00
Fractional coordinates of all 20 atoms:
Na1 0.855 0.568 0.784
Na2 0.855 0.216 0.784
Na3 0.855 0.216 0.432
Na4 0.355 0.784 0.568
Na5 0.355 0.784 0.216
Na6 0.355 0.432 0.216
Ba1 0.517 0.333 0.667
Ba2 0.442 0.123 0.247
Ba3 0.442 0.123 0.877
Ba4 0.017 0.667 0.333
Ba5 0.667 0.941 0.471
Ba6 0.167 0.471 0.941
Ba7 0.942 0.877 0.753
Ba8 0.167 0.471 0.529
Ba9 0.667 0.529 0.059
Ba10 0.442 0.753 0.877
Ba11 0.667 0.529 0.471
Ba12 0.167 0.059 0.529
Ba13 0.942 0.247 0.123
Ba14 0.942 0.877 0.123


This record from Alexandria via LeMat-Bulk describes Ba3Na11 after structural relaxation. The functional is PBE.

Calculated values
energy = -1.436 eV per atom

abc: 5.927 10.801 10.801
angles: 69.81 74.07 74.07
Fractional coordinates of all 14 atoms:
Na1 0.140 0.144 0.576
Na2 0.500 0.674 0.326
Na3 0.345 0.016 0.295
Na4 0.500 0.326 0.674
Na5 0.860 0.424 0.856
Na6 0.345 0.295 0.016
Na7 0.655 0.984 0.705
Na8 0.860 0.856 0.424
Na9 0.000 0.500 0.500
Na10 0.140 0.576 0.144
Na11 0.655 0.705 0.984
Ba1 0.000 0.000 0.000
Ba2 0.710 0.290 0.290
Ba3 0.290 0.710 0.710


This record from Alexandria via LeMat-Bulk describes BaNa4 after structural relaxation. The functional is PBE.

Calculated values
energy = -1.403 eV per atom

abc: 5.530 5.530 8.180
angles: 109.74 109.74 90.04
Fractional coordinates of all 5 atoms:
Na1 0.111 0.611 0.724
Na2 0.750 0.750 0.000
Na3 0.250 0.250 0.000
Na4 0.889 0.389 0.276
Ba1 0.500 0.000 0.500